Version P
## LaPt2Cl (meta-GGA SCAN)

Data for a PBEsol-optimized structure of LaPt2Cl.

```
LaPt2Cl
1.0
3.9058 0.0151 0.0000
-0.0284 3.9150 0.0000
0.0000 0.0000 5.3171
Cl Pt La
1 2 1
direct
0.0000 0.5000 0.5000
0.2503 0.2497 0.0000
0.7497 0.7503 0.0000
0.5000 0.0000 0.5000
```

D(E_F), states/eV per cell: 1.7
SG: Cmmm (65)
Mass density, Mg/m³: 11.5

***

Version Q
## LaPt2Cl (meta-GGA SCAN)

Data for a PBEsol-optimized structure of LaPt2Cl.

```
LaPt2Cl
1.0
3.8636 0.0036 0.0000
-0.0067 3.8636 0.0000
-1.9284 -1.9336 5.4992
Cl Pt La
1 2 1
direct
0.5000 0.5000 0.0000
0.5000 0.0000 0.5000
0.0000 0.5000 0.5000
0.0000 0.0000 0.0000
```

D(E_F), states/eV per cell: 1.9
SG: Fmmm (69)
Mass density, Mg/m³: 11.4

***

Version R
## LaPt2Cl (meta-GGA SCAN)

Data for a PBEsol-optimized structure of LaPt2Cl.

```
LaPt2Cl
1.0
3.9192 0.0000 0.0000
0.0000 3.9192 0.0000
0.0000 0.0000 5.4309
Cl Pt La
1 2 1
direct
0.5000 0.5000 0.0000
0.0000 0.0000 0.7469
0.0000 0.0000 0.2531
0.5000 0.5000 0.5000
```

D(E_F), states/eV per cell: 3.7
SG: P4/mmm (123)
Mass density, Mg/m³: 11.2

***

Short version: version P is the most stable of them.

***

Version P
## LaPtCl2 (meta-GGA SCAN)

Data for a PBEsol-optimized structure of LaPtCl2.

```
LaPtCl2
1.0
4.1510 0.0000 0.0000
0.0000 4.2127 0.0000
-2.0755 -2.1064 4.5862
Cl Pt La
2 1 1
direct
0.9979 0.9979 0.9959
0.7499 0.2499 0.4997
0.2497 0.7497 0.4994
0.5025 0.5025 0.0050
```

D(E_F), states/eV per cell: 0.9
SG: Imm2 (44)
Mass density, Mg/m³: 8.4

***

Version Q
## LaPtCl2 (meta-GGA SCAN)

Data for a PBEsol-optimized structure of LaPtCl2.

```
LaPtCl2
1.0
4.4539 -0.0134 0.0000
-0.1744 4.4505 0.0000
0.0000 0.0000 4.6469
Cl Pt La
2 1 1
direct
0.7467 0.2533 0.0000
0.2533 0.7467 0.0000
0.0000 0.0000 0.5000
0.5000 0.5000 0.5000
```

D(E_F), states/eV per cell: 0.2
SG: Cmmm (65)
Mass density, Mg/m³: 7.3

***

Version R
## LaPtCl2 (meta-GGA SCAN)

Data for a PBEsol-optimized structure of LaPtCl2.

```
LaPtCl2
1.0
4.2529 0.0000 0.3236
0.0000 4.4943 0.0000
-1.0112 0.0000 4.1982
Cl Pt La
2 1 1
direct
0.0000 0.0000 0.0000
0.5000 0.5000 0.0000
0.5000 0.0000 0.5000
0.0000 0.5000 0.5000
```

D(E_F), states/eV per cell: 1.1
SG: P2/m (10)
Mass density, Mg/m³: 8.2

***

Short version: version P is the most stable of them.

***

Version P
## La2ReCl (meta-GGA SCAN)

Data for a PBEsol-optimized structure of La2ReCl.

```
La2ReCl
1.0
-2.1416 -2.3023 -1.2377
3.9987 -2.7781 -1.7514
0.1757 -2.5746 4.4850
Re Cl La
1 1 2
direct
0.5000 0.5000 0.5000
0.5000 0.0000 0.0000
0.0000 0.0000 0.5000
0.0000 0.5000 0.0000
```

D(E_F), states/eV per cell: 2.0
SG: P4/mmm (123)
Mass density, Mg/m³: 9.2

***

Version Q
## La2ReCl (meta-GGA SCAN)

Data for a PBEsol-optimized structure of La2ReCl.

```
La2ReCl
1.0
3.5544 0.0000 0.0000
-1.7772 3.8387 0.0304
0.0000 -2.0306 7.7914
Re Cl La
1 1 2
direct
0.0000 0.0000 0.5000
0.5000 0.0000 0.0000
0.7664 0.5327 0.7116
0.2336 0.4673 0.2884
```

D(E_F), states/eV per cell: 2.7
SG: C2/m (12)
Mass density, Mg/m³: 7.8

***

Short version: version Q is the most stable of them.

***

Version P
## La2ReCl (meta-GGA SCAN)

Data for a PBEsol-optimized structure of La2ReCl.

```
La2ReCl
1.0
3.6565 0.0000 0.0000
0.0000 4.6613 0.0000
0.0000 0.0000 5.7251
Re Cl La
1 1 2
direct
0.0000 0.0000 0.3449
0.5000 0.5000 0.8755
0.0000 0.0000 0.9020
0.5000 0.5000 0.3775
```

D(E_F), states/eV per cell: 2.2
SG: Pmm2 (25)
Mass density, Mg/m³: 8.5

***

Version Q
## La2ReCl (meta-GGA SCAN)

Data for a PBEsol-optimized structure of La2ReCl.

```
La2ReCl
1.0
-1.6099 1.3729 -2.7006
0.0270 -3.0638 -1.5737
-6.9487 -1.9004 3.5805
Re Cl La
1 1 2
direct
0.5000 0.5000 0.0000
0.5000 0.5000 0.5000
0.0382 0.0000 0.7802
0.9618 0.0000 0.2198
```

D(E_F), states/eV per cell: 1.5
SG: P2/m (10)
Mass density, Mg/m³: 8.7

***

Short version: version Q is the most stable of them.

***

Version P
## LaRh2Cl (meta-GGA SCAN)

Data for a PBEsol-optimized structure of LaRh2Cl.

```
LaRh2Cl
1.0
4.0134 -0.0069 0.0000
-0.0137 4.0017 0.0000
-1.9998 -1.9974 4.6225
Cl Rh La
1 2 1
direct
0.5000 0.0000 0.0000
0.0000 0.0000 0.5000
0.5000 0.5000 0.5000
0.0000 0.5000 0.0000
```

D(E_F), states/eV per cell: 2.5
SG: C2/m (12)
Mass density, Mg/m³: 8.5

***

Version Q
## LaRh2Cl (meta-GGA SCAN)

Data for a PBEsol-optimized structure of LaRh2Cl.

```
LaRh2Cl
1.0
-0.4158 -2.2289 2.7767
2.6919 -2.0266 -1.2237
3.6744 3.0634 3.0092
Cl Rh La
1 2 1
direct
0.5000 0.5000 0.0000
0.0000 0.0000 0.7490
0.0000 0.0000 0.2510
0.5000 0.5000 0.5000
```

D(E_F), states/eV per cell: 5.4
SG: P4/mmm (123)
Mass density, Mg/m³: 8.7

***

Short version: version P is the most stable of them.

***

Version P
## LaSb2Cl (meta-GGA SCAN)

Data for a PBEsol-optimized structure of LaSb2Cl.

```
LaSb2Cl
1.0
4.4010 0.0000 0.0000
0.0000 4.4035 0.0000
0.0000 0.0000 5.7907
Sb Cl La
2 1 1
direct
0.0000 0.0000 0.7420
0.0000 0.0000 0.2580
0.5000 0.5000 0.0000
0.5000 0.5000 0.5000
```

D(E_F), states/eV per cell: 2.4
SG: P4/mmm (123)
Mass density, Mg/m³: 6.2

***

Version Q
## LaSb2Cl (meta-GGA SCAN)

Data for a PBEsol-optimized structure of LaSb2Cl.

```
LaSb2Cl
1.0
-0.3737 -2.4728 -3.2473
5.6615 -1.0687 0.1623
-3.4183 -1.8944 4.4225
Sb Cl La
2 1 1
direct
0.0365 0.0365 0.0730
0.7424 0.2424 0.4848
0.5057 0.5057 0.0114
0.2154 0.7154 0.4308
```

D(E_F), states/eV per cell: 0.2
SG: Imm2 (44)
Mass density, Mg/m³: 6.2

***

Short version: version Q is the most stable of them.